## CdHF3 (meta-GGA SCAN)

Data for a crystal of CdHF3 relaxed with PBEsol.

The value obtained for the total DFT energy (no corrections) is -48.95 eV/cell.

It has space group Pm-3m (No. 221), with a = 4.2419 Å, b = 4.2419 Å, c = 4.2419 Å, α = 90.00°, β = 90.00° and γ = 90.00°. The distinct sites, in fractional coordinates, are Cd at (0.0000, 0.0000, 0.0000), H at (0.5000, 0.5000, 0.5000) and F at (0.0000, 0.0000, 0.5000).